[1]
This record from Alexandria describes a crystal of Zr3ZnN relaxed with PBEsol. The functional is SCAN.

Structure (POSCAR):
```
Zr3ZnN
1.0
-1.697 2.815 -0.420
-3.297 -3.404 3.578
4.034 3.481 7.029
Zr N Zn
6 2 2
Cartesian
2.619 2.415 5.602 Zr
0.737 1.818 9.202 Zr
-3.579 0.477 4.585 Zr
-0.076 2.473 3.809 Zr
-0.884 0.419 6.377 Zr
-1.697 1.075 0.985 Zr
0.000 0.000 0.000 N
2.017 1.740 3.515 N
-1.115 -0.152 3.482 Zn
0.154 3.044 6.705 Zn
```

## Properties
**Density**: 7036 kg/m3
**Formation energy from raw total energies**: -1059 meV per atom
**Size of the total moment**: 0.0 μB per cell
**Space-group type**: Cmcm
**Polymorph energy (0 for the lowest one)**: 0.00 eV/f.u.
**Density of states at the Fermi level**: 0.605 states/eV/atom

=====

[2]
This record from Alexandria describes a crystal of Na relaxed with PBEsol. The functional is SCAN.

Structure (POSCAR):
```
Na
1.0
-2.043 -2.725 1.206
1.052 -0.691 -3.386
2.907 0.354 2.116
Na
1
Cartesian
0.000 0.000 0.000 Na
```

## Properties
**Density**: 1052 kg/m3
**Size of the total moment**: 0.0 μB per cell
**Space-group type**: Im-3m
**Polymorph energy (0 for the lowest one)**: 0.00 eV/f.u.
**Density of states at the Fermi level**: 0.448 states/eV/atom

=====

[3]
This record from Alexandria describes a crystal of Na relaxed with PBEsol. The functional is SCAN.

Structure (POSCAR):
```
Na
1.0
-0.802 3.112 10.642
-9.832 -3.839 -3.489
7.654 -8.005 -0.953
Na
29
Cartesian
1.348 -3.979 4.798 Na
-4.527 0.570 5.851 Na
4.897 -5.122 -0.610 Na
4.899 -4.204 3.657 Na
0.000 0.000 0.000 Na
2.551 -1.116 6.878 Na
-7.035 -1.361 1.926 Na
0.995 -3.731 -1.022 Na
-2.173 0.435 3.323 Na
-6.290 -2.456 -2.232 Na
1.244 -7.018 -2.063 Na
-1.073 -3.145 2.233 Na
-7.198 -2.063 5.615 Na
2.715 -2.407 1.670 Na
-2.226 -2.964 -1.489 Na
-3.837 -0.846 0.720 Na
-1.271 -1.513 6.276 Na
-1.911 -9.015 -1.635 Na
2.152 -6.013 1.582 Na
-1.519 -6.186 0.312 Na
3.735 -4.668 7.200 Na
-3.612 -5.861 -2.767 Na
-4.203 -2.656 3.993 Na
-2.016 -4.867 5.904 Na
-4.926 -4.326 0.556 Na
-0.405 -6.985 3.695 Na
1.158 -0.359 3.806 Na
-0.513 1.991 6.809 Na
-3.736 -6.192 3.212 Na
```

## Properties
**Density**: 1047 kg/m3
**Size of the total moment**: 0.0 μB per cell
**Space-group type**: I-43m
**Polymorph energy (0 for the lowest one)**: 0.01 eV/f.u.
**Density of states at the Fermi level**: 0.454 states/eV/atom

=====

[4]
This record from Alexandria describes a crystal of Na relaxed with PBEsol. The functional is SCAN.

Structure (POSCAR):
```
Na
1.0
3.721 0.000 0.000
-1.860 3.222 0.000
0.000 0.000 6.032
Na
2
Cartesian
0.000 2.148 1.508 Na
1.860 1.074 4.524 Na
```

## Properties
**Density**: 1056 kg/m3
**Size of the total moment**: 0.0 μB per cell
**Space-group type**: P6_3/mmc
**Polymorph energy (0 for the lowest one)**: 0.00 eV/f.u.
**Density of states at the Fermi level**: 0.469 states/eV/atom